1.
DFT (PBE) results for a geometry-optimized LiCaZn2Pt structure.

Cell lengths 4.866, 4.866, 4.680 Å; angles 90.00, 90.00, 90.00 degrees
Space group P4/mmm (No. 123)
Symmetry-distinct sites (fractional):
1 Li 0.000 0.000 0.000 (multiplicity 1)
2 Ca 0.500 0.500 0.000 (multiplicity 1)
3 Zn 0.000 0.500 0.500 (multiplicity 2)
4 Pt 0.000 0.000 0.500 (multiplicity 1)

spin magnetization	0.00	μB per cell
final energy	-2.835	eV/atom
crystal system	tetragonal
energy relative to the elements	-0.3340	eV per atom


2.
DFT (PBE) results for a geometry-optimized Sb3C4 structure.

Cell lengths 4.682, 4.682, 4.682 Å; angles 90.00, 90.00, 90.00 degrees
Space group Pm-3m (No. 221)
Symmetry-distinct sites (fractional):
1 Sb 0.000 0.000 0.500 (multiplicity 3)
2 C 0.000 0.000 0.000 (multiplicity 1)
3 C 0.000 0.500 0.500 (multiplicity 3)

spin magnetization	1.24	μB per cell
raw formation energy	14.0	eV per formula unit
final energy	-5.037	eV/atom
crystal system	cubic


3.
DFT (PBE) results for a geometry-optimized YC structure.

Cell lengths 5.0100, 5.0100, 6.2040 Å; angles 90.00, 90.00, 120.00 degrees
Space group P6_3/mmc (No. 194)
Symmetry-distinct sites (fractional):
1 Y 0.0000 0.0000 0.2500 (multiplicity 2)
2 Y 0.3333 0.6667 0.2500 (multiplicity 2)
3 C 0.3333 0.6667 0.6427 (multiplicity 4)

spin magnetization	0.00	μB per cell
final energy	-7.134	eV/atom
crystal system	hexagonal
energy relative to the elements	0.7099	eV per atom


4.
DFT (PBE) results for a geometry-optimized LiLa4Hg structure.

Cell lengths 8.311, 8.311, 5.387 Å; angles 90.00, 90.00, 90.00 degrees
Space group I422 (No. 97)
Symmetry-distinct sites (fractional):
1 Li 0.000 0.000 0.000 (multiplicity 2)
2 La 0.151 0.349 0.250 (multiplicity 8)
3 Hg 0.000 0.000 0.500 (multiplicity 2)

spin magnetization	0.00	μB per cell
final energy	-3.794	eV/atom
crystal system	tetragonal
energy relative to the elements	-0.1395	eV per atom


5.
DFT (PBE) results for a geometry-optimized GaCoRh6 structure.

Cell lengths 8.472, 3.822, 7.678 Å; angles 90.00, 116.96, 90.00 degrees
Space group C2/m (No. 12)
Symmetry-distinct sites (fractional):
1 Ga 0.000 0.000 0.000 (multiplicity 2)
2 Co 0.000 0.000 0.500 (multiplicity 2)
3 Rh 0.001 0.500 0.743 (multiplicity 4)
4 Rh 0.249 0.500 0.126 (multiplicity 4)
5 Rh 0.250 0.000 0.377 (multiplicity 4)

spin magnetization	5.05	μB per cell
final energy	-6.920	eV/atom
crystal system	monoclinic
energy relative to the elements	-0.1403	eV per atom


6.
DFT (PBE) results for a geometry-optimized Sr2TbMnSe5 structure.

Cell lengths 4.172, 18.412, 12.861 Å; angles 90.00, 90.00, 90.00 degrees
Space group Cmc2_1 (No. 36)
Symmetry-distinct sites (fractional):
1 Sr 0.000 0.120 0.000 (multiplicity 4)
2 Sr 0.000 0.122 0.353 (multiplicity 4)
3 Tb 0.000 0.200 0.695 (multiplicity 4)
4 Mn 0.000 0.443 0.093 (multiplicity 4)
5 Se 0.000 0.036 0.689 (multiplicity 4)
6 Se 0.000 0.301 0.345 (multiplicity 4)
7 Se 0.000 0.315 0.035 (multiplicity 4)
8 Se 0.000 0.351 0.676 (multiplicity 4)
9 Se 0.000 0.499 0.927 (multiplicity 4)

spin magnetization	16.00	μB per cell
raw formation energy	-13.8	eV per formula unit
final energy	-5.374	eV/atom
crystal system	orthorhombic